[1]
In2Co2C | GGA-PBE | optimized geometry

CIF file:
```
data_In2Co2C
_cell_length_a 3.2292
_cell_length_b 3.2292
_cell_length_c 14.9209
_cell_angle_alpha 90.00
_cell_angle_beta 90.00
_cell_angle_gamma 90.00
_space_group_name_H-M_alt 'I 4/m m m'
_space_group_IT_number 139
_space_group_name_Hall '-I 4 2'
loop_
_atom_site_label
_atom_site_type_symbol
_atom_site_fract_x
_atom_site_fract_y
_atom_site_fract_z
_atom_site_occupancy
In1 In 0.0000 0.0000 0.0972 1
Co1 Co 0.0000 0.5000 0.2500 1
C1 C 0.0000 0.0000 0.5000 1
```

Computed properties:
- ΔE_f (eV per atom) = 1.04
- ΔE to the lowest computed polymorph (eV/f.u.) = 0.000

=====

[2]
CePm3Ho3Te8 | GGA-PBE | optimized geometry

CIF file:
```
data_CePm3Ho3Te8
_cell_length_a 8.7921
_cell_length_b 8.7921
_cell_length_c 21.4946
_cell_angle_alpha 90.00
_cell_angle_beta 90.00
_cell_angle_gamma 120.00
_space_group_name_H-M_alt 'R -3 m'
_space_group_IT_number 166
_space_group_name_Hall '-R 3 2"'
loop_
_atom_site_label
_atom_site_type_symbol
_atom_site_fract_x
_atom_site_fract_y
_atom_site_fract_z
_atom_site_occupancy
Ce1 Ce 0.0000 0.0000 0.0000 1
Pm1 Pm 0.0000 0.5000 0.5000 1
Ho1 Ho 0.0000 0.5000 0.0000 1
Te1 Te 0.0000 0.0000 0.2535 1
Te2 Te 0.0175 0.5088 0.2492 1
```

=====

[3]
CsMgGa2I8 | GGA-PBE | optimized geometry

CIF file:
```
data_CsMgGa2I8
_cell_length_a 7.4425
_cell_length_b 7.4425
_cell_length_c 32.8059
_cell_angle_alpha 90.00
_cell_angle_beta 90.00
_cell_angle_gamma 120.00
_space_group_name_H-M_alt 'R -3'
_space_group_IT_number 148
_space_group_name_Hall '-R 3'
loop_
_atom_site_label
_atom_site_type_symbol
_atom_site_fract_x
_atom_site_fract_y
_atom_site_fract_z
_atom_site_occupancy
Cs1 Cs 0.0000 0.0000 0.0000 1
Mg1 Mg 0.0000 0.0000 0.5000 1
Ga1 Ga 0.0000 0.0000 0.2423 1
I1 I 0.0000 0.0000 0.3229 1
I2 I 0.0037 0.6484 0.2200 1
```

=====

[4]
CeNd2Ni6 | GGA-PBE | optimized geometry

CIF file:
```
data_CeNd2Ni6
_cell_length_a 7.0714
_cell_length_b 7.0714
_cell_length_c 3.7970
_cell_angle_alpha 90.00
_cell_angle_beta 90.00
_cell_angle_gamma 120.00
_space_group_name_H-M_alt 'P 6/m m m'
_space_group_IT_number 191
_space_group_name_Hall '-P 6 2'
loop_
_atom_site_label
_atom_site_type_symbol
_atom_site_fract_x
_atom_site_fract_y
_atom_site_fract_z
_atom_site_occupancy
Ce1 Ce 0.0000 0.0000 0.0000 1
Nd1 Nd 0.3333 0.6667 0.0000 1
Ni1 Ni 0.0000 0.3309 0.5000 1
```

Computed properties:
- ΔE_f (eV per atom) = -0.30

=====

[5]
MgAu2Cl | GGA-PBE | optimized geometry

CIF file:
```
data_MgAu2Cl
_cell_length_a 8.2685
_cell_length_b 8.2685
_cell_length_c 5.1980
_cell_angle_alpha 90.00
_cell_angle_beta 90.00
_cell_angle_gamma 90.00
_space_group_name_H-M_alt 'I -4 2 d'
_space_group_IT_number 122
_space_group_name_Hall 'I -4 2bw'
loop_
_atom_site_label
_atom_site_type_symbol
_atom_site_fract_x
_atom_site_fract_y
_atom_site_fract_z
_atom_site_occupancy
Mg1 Mg 0.0000 0.0000 0.0000 1
Au1 Au 0.2238 0.2500 0.1250 1
Cl1 Cl 0.0000 0.0000 0.5000 1
```

Computed properties:
- ΔE to the lowest computed polymorph (eV/f.u.) = 1.373

=====

[6]
Sr3TlZn | GGA-PBE | optimized geometry

CIF file:
```
data_Sr3TlZn
_cell_length_a 5.7608
_cell_length_b 22.0886
_cell_length_c 5.7531
_cell_angle_alpha 90.00
_cell_angle_beta 90.00
_cell_angle_gamma 90.00
_space_group_name_H-M_alt 'C m c m'
_space_group_IT_number 63
_space_group_name_Hall '-C 2c 2'
loop_
_atom_site_label
_atom_site_type_symbol
_atom_site_fract_x
_atom_site_fract_y
_atom_site_fract_z
_atom_site_occupancy
Sr1 Sr 0.0000 0.0743 0.2500 1
Sr2 Sr 0.0000 0.2494 0.2500 1
Sr3 Sr 0.0000 0.4245 0.2500 1
Tl1 Tl 0.0000 0.1583 0.7500 1
Zn1 Zn 0.0000 0.3409 0.7500 1
```

Computed properties:
- ΔE_f (eV per atom) = -0.26
- ΔE to the lowest computed polymorph (eV/f.u.) = 0.000

=====

[7]
CaMgAl4 | GGA-PBE | optimized geometry

CIF file:
```
data_CaMgAl4
_cell_length_a 7.8600
_cell_length_b 7.8600
_cell_length_c 7.8600
_cell_angle_alpha 90.00
_cell_angle_beta 90.00
_cell_angle_gamma 90.00
_space_group_name_H-M_alt 'F -4 3 m'
_space_group_IT_number 216
_space_group_name_Hall 'F -4 2 3'
loop_
_atom_site_label
_atom_site_type_symbol
_atom_site_fract_x
_atom_site_fract_y
_atom_site_fract_z
_atom_site_occupancy
Ca1 Ca 0.0000 0.0000 0.0000 1
Mg1 Mg 0.2500 0.2500 0.7500 1
Al1 Al 0.1250 0.1250 0.3750 1
```

Computed properties:
- ΔE_f (eV per atom) = -0.14

=====

[8]
YFeGe2Os | GGA-PBE | optimized geometry

CIF file:
```
data_YFeGe2Os
_cell_length_a 4.0712
_cell_length_b 4.0712
_cell_length_c 10.4013
_cell_angle_alpha 90.00
_cell_angle_beta 90.00
_cell_angle_gamma 90.00
_space_group_name_H-M_alt 'I -4 m 2'
_space_group_IT_number 119
_space_group_name_Hall 'I -4 -2'
loop_
_atom_site_label
_atom_site_type_symbol
_atom_site_fract_x
_atom_site_fract_y
_atom_site_fract_z
_atom_site_occupancy
Y1 Y 0.0000 0.0000 0.0000 1
Fe1 Fe 0.0000 0.5000 0.2500 1
Ge1 Ge 0.0000 0.0000 0.3770 1
Os1 Os 0.0000 0.5000 0.7500 1
```

Computed properties:
- ΔE_f (eV per atom) = -0.41

=====

[9]
LaTlCr2Co | GGA-PBE | optimized geometry

CIF file:
```
data_LaTlCr2Co
_cell_length_a 4.7757
_cell_length_b 4.7757
_cell_length_c 5.0786
_cell_angle_alpha 90.00
_cell_angle_beta 90.00
_cell_angle_gamma 90.00
_space_group_name_H-M_alt 'P 4/m m m'
_space_group_IT_number 123
_space_group_name_Hall '-P 4 2'
loop_
_atom_site_label
_atom_site_type_symbol
_atom_site_fract_x
_atom_site_fract_y
_atom_site_fract_z
_atom_site_occupancy
La1 La 0.0000 0.0000 0.0000 1
Tl1 Tl 0.5000 0.5000 0.0000 1
Cr1 Cr 0.0000 0.5000 0.5000 1
Co1 Co 0.0000 0.0000 0.5000 1
```

Computed properties:
- ΔE_f (eV per atom) = 0.58

=====

[10]
SiSeCl2 | GGA-PBE | optimized geometry

CIF file:
```
data_SiSeCl2
_cell_length_a 7.7053
_cell_length_b 7.7053
_cell_length_c 11.0029
_cell_angle_alpha 90.00
_cell_angle_beta 90.00
_cell_angle_gamma 90.00
_space_group_name_H-M_alt 'I -4 2 d'
_space_group_IT_number 122
_space_group_name_Hall 'I -4 2bw'
loop_
_atom_site_label
_atom_site_type_symbol
_atom_site_fract_x
_atom_site_fract_y
_atom_site_fract_z
_atom_site_occupancy
Si1 Si 0.0000 0.0000 0.0000 1
Se1 Se 0.0000 0.0000 0.5000 1
Cl1 Cl 0.0009 0.7500 0.1250 1
```

Computed properties:
- ΔE to the lowest computed polymorph (eV/f.u.) = 2.380

=====

[11]
Cs2TcI5 | GGA-PBE | optimized geometry

CIF file:
```
data_Cs2TcI5
_cell_length_a 11.1632
_cell_length_b 12.1030
_cell_length_c 8.2209
_cell_angle_alpha 90.00
_cell_angle_beta 132.64
_cell_angle_gamma 90.00
_space_group_name_H-M_alt 'C 1 m 1'
_space_group_IT_number 8
loop_
_space_group_symop_operation_xyz
'x,y,z'
'x,-y,z'
'x+1/2,y+1/2,z'
'x+1/2,-y+1/2,z'
loop_
_atom_site_label
_atom_site_type_symbol
_atom_site_fract_x
_atom_site_fract_y
_atom_site_fract_z
_atom_site_occupancy
Cs1 Cs 0.0000 0.2486 0.0000 1
Tc1 Tc 0.0382 0.5000 0.5009 1
I1 I 0.2201 0.5000 0.9502 1
I2 I 0.2755 0.0000 0.0504 1
I3 I 0.2904 0.5000 0.5051 1
I4 I 0.4977 0.2248 0.5002 1
```

=====

[12]
Tb2ScGaO | GGA-PBE | optimized geometry

CIF file:
```
data_Tb2ScGaO
_cell_length_a 4.7576
_cell_length_b 4.7576
_cell_length_c 4.3568
_cell_angle_alpha 90.00
_cell_angle_beta 90.00
_cell_angle_gamma 90.00
_space_group_name_H-M_alt 'P 4/m m m'
_space_group_IT_number 123
_space_group_name_Hall '-P 4 2'
loop_
_atom_site_label
_atom_site_type_symbol
_atom_site_fract_x
_atom_site_fract_y
_atom_site_fract_z
_atom_site_occupancy
Tb1 Tb 0.0000 0.5000 0.0000 1
Sc1 Sc 0.0000 0.0000 0.5000 1
Ga1 Ga 0.5000 0.5000 0.5000 1
O1 O 0.0000 0.0000 0.0000 1
```

=====

Calculated total energy (eV for the cell shown), listed in the same order as above: -47.376 -239.259 -88.323 -52.855 -44.937 -39.935 -77.688 -74.930 -30.724 -45.795 -51.731 -30.784